*A*
This record from Alexandria via LeMat-Bulk describes a relaxed structure of Pu2HPt. The functional is GGA-PBE.

For the volume, the calculation gives 15.2 Å³ per atom. Its density of states at the Fermi level is 1.96 states/eV/atom. The value obtained for the total magnetization is 0.00 μB per formula unit.

It has space group R-3m (No. 166, hexagonal axes), with a = 3.7851 Å, b = 3.7851 Å, c = 14.7453 Å, α = 90.00°, β = 90.00° and γ = 120.00°. The distinct sites, in fractional coordinates, are Pu at (0.0000, 0.0000, 0.2064), H at (0.0000, 0.0000, 0.5000) and Pt at (0.0000, 0.0000, 0.0000).

---

*B*
This record from Alexandria via LeMat-Bulk describes a relaxed structure of Pu2HPt. The functional is GGA-PBE.

For the volume, the calculation gives 18.5 Å³ per atom. Its density of states at the Fermi level is 4.00 states/eV/atom. The value obtained for the total magnetization is 5.78 μB per formula unit.

It has space group P-1 (No. 2), with a = 5.753 Å, b = 5.984 Å, c = 9.188 Å, α = 78.00°, β = 78.48° and γ = 75.96°. The distinct sites, in fractional coordinates, are Pu at (0.165, 0.497, 0.332), Pu at (0.254, 0.911, 0.587), Pu at (0.258, 0.578, 0.921), Pu at (0.334, 0.001, 0.162), H at (0.121, 0.363, 0.134), H at (0.134, 0.121, 0.374), Pt at (0.126, 0.113, 0.871) and Pt at (0.380, 0.368, 0.625).

---

*C*
This record from Alexandria via LeMat-Bulk describes a relaxed structure of Pu2HPt. The functional is GGA-PBE.

For the volume, the calculation gives 18.2 Å³ per atom. Its density of states at the Fermi level is 2.98 states/eV/atom. The value obtained for the total magnetization is 11.62 μB per formula unit.

It has space group P4/mmm (No. 123), with a = 3.216 Å, b = 3.216 Å, c = 7.024 Å, α = 90.00°, β = 90.00° and γ = 90.00°. The distinct sites, in fractional coordinates, are Pu at (0.000, 0.000, 0.223), H at (0.500, 0.500, 0.000) and Pt at (0.500, 0.500, 0.500).

---

*D*
This record from Alexandria via LeMat-Bulk describes a relaxed structure of Pu2HPt. The functional is GGA-PBE.

For the volume, the calculation gives 18.5 Å³ per atom. Its density of states at the Fermi level is 3.61 states/eV/atom. The value obtained for the total magnetization is 10.87 μB per formula unit.

It has space group I-4m2 (No. 119), with a = 3.730 Å, b = 3.730 Å, c = 10.631 Å, α = 90.00°, β = 90.00° and γ = 90.00°. The distinct sites, in fractional coordinates, are Pu at (0.000, 0.000, 0.144), H at (0.000, 0.500, 0.250) and Pt at (0.000, 0.000, 0.500).

---

Relative calculated energies, zero for the most stable structure, unit meV per atom: *A* 438; *B* 0; *C* 156; *D* 21.

---

*A*
This record from Alexandria via LeMat-Bulk describes a relaxed structure of Rb2HPt. The functional is GGA-PBE.

For the volume, the calculation gives 31.1 Å³ per atom. Its density of states at the Fermi level is 0.46 states/eV/atom. The value obtained for the total magnetization is 1.00 μB per formula unit.

It has space group Fm-3m (No. 225), with a = 7.926 Å, b = 7.926 Å, c = 7.926 Å, α = 90.00°, β = 90.00° and γ = 90.00°. The distinct sites, in fractional coordinates, are Rb at (0.250, 0.250, 0.250), H at (0.000, 0.000, 0.000) and Pt at (0.000, 0.000, 0.500).

---

*B*
This record from Alexandria via LeMat-Bulk describes a relaxed structure of Rb2HPt. The functional is GGA-PBE.

For the volume, the calculation gives 32.3 Å³ per atom. Its density of states at the Fermi level is 0.50 states/eV/atom. The value obtained for the total magnetization is 0.27 μB per formula unit.

It has space group I-42d (No. 122), with a = 11.916 Å, b = 11.916 Å, c = 3.634 Å, α = 90.00°, β = 90.00° and γ = 90.00°. The distinct sites, in fractional coordinates, are Rb at (0.040, 0.750, 0.125), H at (0.000, 0.000, 0.000) and Pt at (0.000, 0.000, 0.500).

---

Relative calculated energies, zero for the most stable structure, unit meV per atom: *A* 501; *B* 0.

---

*A*
This record from Alexandria via LeMat-Bulk describes a relaxed structure of RbH3Pt. The functional is GGA-PBE.

For the volume, the calculation gives 16.2 Å³ per atom. Its density of states at the Fermi level is 0.00 states/eV/atom. The value obtained for the total magnetization is 0.00 μB per formula unit.

It has space group P-1 (No. 2), with a = 5.519 Å, b = 5.790 Å, c = 5.794 Å, α = 117.06°, β = 95.31° and γ = 95.17°. The distinct sites, in fractional coordinates, are Rb at (0.250, 0.161, 0.340), H at (0.125, 0.628, 0.313), H at (0.250, 0.607, 0.894), H at (0.374, 0.187, 0.873), Pt at (0.000, 0.500, 0.000) and Pt at (0.500, 0.500, 0.000).

---

*B*
This record from Alexandria via LeMat-Bulk describes a relaxed structure of RbH3Pt. The functional is GGA-PBE.

For the volume, the calculation gives 11.7 Å³ per atom. Its density of states at the Fermi level is 0.14 states/eV/atom. The value obtained for the total magnetization is 0.00 μB per formula unit.

It has space group Pm-3m (No. 221), with a = 3.881 Å, b = 3.881 Å, c = 3.881 Å, α = 90.00°, β = 90.00° and γ = 90.00°. The distinct sites, in fractional coordinates, are Rb at (0.000, 0.000, 0.000), H at (0.000, 0.500, 0.500) and Pt at (0.500, 0.500, 0.500).

---

*C*
This record from Alexandria via LeMat-Bulk describes a relaxed structure of RbH3Pt. The functional is GGA-PBE.

For the volume, the calculation gives 16.3 Å³ per atom. Its density of states at the Fermi level is 0.66 states/eV/atom. The value obtained for the total magnetization is 1.58 μB per formula unit.

It has space group Pm-3m (No. 221), with a = 4.332 Å, b = 4.332 Å, c = 4.332 Å, α = 90.00°, β = 90.00° and γ = 90.00°. The distinct sites, in fractional coordinates, are Rb at (0.000, 0.000, 0.000), H at (0.000, 0.000, 0.500) and Pt at (0.500, 0.500, 0.500).

---

Relative calculated energies, zero for the most stable structure, unit meV per atom: *A* 0; *B* 162; *C* 2020.

---

*A*
This record from Alexandria via LeMat-Bulk describes a relaxed structure of RbH2Pt. The functional is GGA-PBE.

For the volume, the calculation gives 16.4 Å³ per atom. Its density of states at the Fermi level is 0.31 states/eV/atom. The value obtained for the total magnetization is 0.00 μB per formula unit.

It has space group I4_1/amd (No. 141, origin choice 2), with a = 5.091 Å, b = 5.091 Å, c = 10.120 Å, α = 90.00°, β = 90.00° and γ = 90.00°. The distinct sites, in fractional coordinates, are Rb at (0.000, 0.250, 0.375), H at (0.000, 0.000, 0.000) and Pt at (0.000, 0.250, 0.875).

---

*B*
This record from Alexandria via LeMat-Bulk describes a relaxed structure of RbH2Pt. The functional is GGA-PBE.

For the volume, the calculation gives 14.4 Å³ per atom. Its density of states at the Fermi level is 0.17 states/eV/atom. The value obtained for the total magnetization is 0.00 μB per formula unit.

It has space group R-3m (No. 166, hexagonal axes), with a = 3.4407 Å, b = 3.4407 Å, c = 16.7982 Å, α = 90.00°, β = 90.00° and γ = 120.00°. The distinct sites, in fractional coordinates, are Rb at (0.0000, 0.0000, 0.0000), H at (0.0000, 0.0000, 0.1895) and Pt at (0.0000, 0.0000, 0.5000).

---

*C*
This record from Alexandria via LeMat-Bulk describes a relaxed structure of RbH2Pt. The functional is GGA-PBE.

For the volume, the calculation gives 15.6 Å³ per atom. Its density of states at the Fermi level is 0.55 states/eV/atom. The value obtained for the total magnetization is 0.00 μB per formula unit.

It has space group Fm-3m (No. 225), with a = 6.299 Å, b = 6.299 Å, c = 6.299 Å, α = 90.00°, β = 90.00° and γ = 90.00°. The distinct sites, in fractional coordinates, are Rb at (0.000, 0.000, 0.000), H at (0.250, 0.250, 0.250) and Pt at (0.000, 0.000, 0.500).

---

Relative calculated energies, zero for the most stable structure, unit meV per atom: *A* 0; *B* 312; *C* 1132.

---

*A*
This record from Alexandria via LeMat-Bulk describes a relaxed structure of Rb3H3Pt. The functional is GGA-PBE.

For the volume, the calculation gives 24.9 Å³ per atom. The value obtained for the total magnetization is 0.00 μB per formula unit.

It has space group R3m (No. 160, hexagonal axes), with a = 10.5550 Å, b = 10.5550 Å, c = 5.4095 Å, α = 90.00°, β = 90.00° and γ = 120.00°. The distinct sites, in fractional coordinates, are Rb at (0.0804, 0.5402, 0.0000), H at (0.0934, 0.1868, 0.8279) and Pt at (0.0000, 0.0000, 0.8235).

---

*B*
This record from Alexandria via LeMat-Bulk describes a relaxed structure of Rb3H3Pt. The functional is GGA-PBE.

For the volume, the calculation gives 24.0 Å³ per atom. Its density of states at the Fermi level is 0.17 states/eV/atom. The value obtained for the total magnetization is 0.00 μB per formula unit.

It has space group P2_1/m (No. 11), with a = 7.796 Å, b = 5.657 Å, c = 7.811 Å, α = 90.00°, β = 102.66° and γ = 90.00°. The distinct sites, in fractional coordinates, are Rb at (0.077, 0.250, 0.307), Rb at (0.292, 0.750, 0.083), Rb at (0.379, 0.750, 0.644), H at (0.005, 0.250, 0.658), H at (0.349, 0.250, 0.650), H at (0.352, 0.250, 0.993) and Pt at (0.205, 0.250, 0.799).

---

Relative calculated energies, zero for the most stable structure, unit meV per atom: *A* 44; *B* 0.